# PuCd3Ag2 PBE relaxed
# **Theoretical density**: 9.3 g cm⁻³
# **Fermi-level density of states**: 15.42 states/eV/f.u.
# **Total magnetization**: 23.651 μB/cell
# **Formation energy**: -5.3 meV per atom
data_PuCd3Ag2
_cell_length_a 16.6497
_cell_length_b 4.5841
_cell_length_c 8.7221
_cell_angle_alpha 90.00
_cell_angle_beta 121.59
_cell_angle_gamma 90.00
_symmetry_space_group_name_H-M 'C 1 2/m 1'
_symmetry_Int_Tables_number 12
_symmetry_space_group_name_Hall '-C 2y'
loop_
_atom_site_label
_atom_site_type_symbol
_atom_site_fract_x
_atom_site_fract_y
_atom_site_fract_z
Pu1 Pu 0.1247 0.0000 0.1249
Cd1 Cd 0.9996 0.0000 0.3398
Cd2 Cd 0.1786 0.5000 0.4746
Cd3 Cd 0.1787 0.5000 0.8830
Ag1 Ag 0.0000 0.5000 0.1565
Ag2 Ag 0.1979 0.0000 0.6979